DFT (PBE) results for crystalline Cs2VN at its relaxed geometry.

a b c (Å): 13.2092 13.2092 9.5355
angles (deg): 46.16 46.16 90.00
Atoms (fractional coordinates):
Cs: 0.4137 0.1250 0.2500
Cs: 0.3363 0.6250 0.2500
Cs: 0.3750 0.5863 0.7500
Cs: 0.8750 0.6637 0.7500
N: 0.5000 0.5000 0.0000
N: 0.2500 0.7500 0.5000
V: 0.0000 0.0000 0.0000
V: 0.7500 0.2500 0.5000

Values from the calculation:
- Symmetry: No. 122
- Uncorrected formation energy: 0.223 eV/atom